# 1
Entry from the Alexandria database: SmGdMgTl after structural relaxation (PBE-GGA). Values from VASP.

Quantum ESPRESSO input file:
```
&SYSTEM
  ibrav = 0, nat = 4, ntyp = 4
/
ATOMIC_SPECIES
Sm 150.36 Sm.upf
Gd 157.25 Gd.upf
Mg 24.30 Mg.upf
Tl 204.38 Tl.upf
ATOMIC_POSITIONS crystal
Sm 0.0000 0.0000 0.0000
Gd 0.5000 0.5000 0.5000
Mg 0.7500 0.7500 0.7500
Tl 0.2500 0.2500 0.2500
CELL_PARAMETERS angstrom
0.0000 3.8301 3.8301
3.8301 0.0000 3.8301
3.8301 3.8301 0.0000
```

# 2
Entry from the Alexandria database: SmGdTmMg after structural relaxation (PBE-GGA). Values from VASP.

Quantum ESPRESSO input file:
```
&SYSTEM
  ibrav = 0, nat = 4, ntyp = 4
/
ATOMIC_SPECIES
Sm 150.36 Sm.upf
Gd 157.25 Gd.upf
Tm 168.93 Tm.upf
Mg 24.30 Mg.upf
ATOMIC_POSITIONS crystal
Sm 0.0000 0.0000 0.0000
Gd 0.5000 0.5000 0.5000
Tm 0.2500 0.2500 0.2500
Mg 0.7500 0.7500 0.7500
CELL_PARAMETERS angstrom
0.0000 3.9038 3.9038
3.9038 0.0000 3.9038
3.9038 3.9038 0.0000
```

Number 1: DFT total energy -5.95 eV/atom, formation energy from the elements -257 meV per atom, spin magnetization 7.84 μB per formula unit. Number 2: DFT total energy -6.20 eV/atom, formation energy from the elements 18 meV per atom, spin magnetization 7.37 μB per formula unit.